ZrHPt: optimized geometry, PBE.

Output
The value obtained for the distance to the lowest polymorph of the same formula is 0.0 meV/atom. As for the electronic total energy: -6.80 eV/atom. The density of states at the Fermi level comes out at 0.6763 states/eV per atom. As for the spin magnetization: 0.0 μB/f.u. As for the crystal system: tetragonal.

Cell lengths 3.4806, 3.4806, 6.7031 Å; angles 90.00, 90.00, 90.00 degrees
Closest atoms and distances in Å follow each position.
Space group P4/nmm (No. 129, origin choice 2)
Symmetry-distinct sites (fractional):
Zr (0.2500, 0.2500, 0.1864) [2 per cell]  4 H 2.14
H (0.2500, 0.7500, 0.0000) [2 per cell]  4 Zr 2.14
Pt (0.2500, 0.2500, 0.6174) [2 per cell]  5 Zr 2.79-2.89, 4 Pt 2.92, 4 H 3.10